Compound: DyHoIn4
Source: the Open Quantum Materials Database
Functional: GGA-PBE
Structure: optimized geometry

Structure (POSCAR):
```
DyHoIn4
1.0
4.636 0.000 0.000
0.000 2.297 7.102
0.000 -2.297 7.102
In Ho Dy
4 1 1
Direct
0.500 0.500 0.500
0.500 0.176 0.176
0.000 0.000 0.000
0.500 0.824 0.824
0.000 0.344 0.344
0.000 0.656 0.656
```

Results
**Raw total energy**: -22.73 eV/f.u.
**Size of the total moment**: 0.0 μB per cell